No. 1
# Cr2Si2Sn

A relaxed structure of Cr2Si2Sn (PBE, Alexandria).

Cell lengths 3.4198, 3.4198, 12.6201 Å; angles 90.00, 90.00, 90.00 degrees
Last column: nearest neighbours and their distance in Å.
Space group I4/mmm (No. 139)
Symmetry-distinct sites (fractional):
1 Cr 0.0000 0.0000 0.1113  4 Si 2.45
2 Si 0.0000 0.5000 0.2500  4 Si 2.42, 4 Cr 2.45
3 Sn 0.0000 0.0000 0.5000  8 Cr 2.80

Summary:
Electronic total energy: -6.821 eV/atom



No. 2
# CaAl2Zn4Au

A relaxed structure of CaAl2Zn4Au (PBE, Alexandria).

Cell lengths 4.3415, 4.3415, 27.5079 Å; angles 90.00, 90.00, 120.00 degrees
Last column: nearest neighbours and their distance in Å.
Space group R-3m (No. 166, hexagonal axes)
Symmetry-distinct sites (fractional):
1 Ca 0.0000 0.0000 0.0000  6 Zn 3.12, 6 Al 3.41
2 Al 0.0000 0.0000 0.2494  6 Zn 2.55-2.77
3 Zn 0.0000 0.0000 0.1270  3 Au 2.73, 3 Al 2.77, 3 Zn 3.00
4 Zn 0.0000 0.0000 0.4007  3 Al 2.55, 1 Au 2.73
5 Au 0.0000 0.0000 0.5000  8 Zn 2.73

Summary:
ΔE_f: -0.14 eV per atom



No. 3
# SrTcHg2

A relaxed structure of SrTcHg2 (PBE, Alexandria).

Cell lengths 7.3313, 7.3313, 7.3313 Å; angles 90.00, 90.00, 90.00 degrees
Last column: nearest neighbours and their distance in Å.
Space group Fm-3m (No. 225)
Symmetry-distinct sites (fractional):
1 Sr 0.0000 0.0000 0.0000  8 Hg 3.17
2 Tc 0.0000 0.0000 0.5000  8 Hg 3.17
3 Hg 0.2500 0.2500 0.2500  4 Tc 3.17, 4 Sr 3.17

Summary:
ΔE_f: 0.39 eV per atom



No. 4
# InCuRe2

A relaxed structure of InCuRe2 (PBE, Alexandria).

Cell lengths 3.7699, 3.7699, 8.9185 Å; angles 90.00, 90.00, 90.00 degrees
Last column: nearest neighbours and their distance in Å.
Space group I4/mmm (No. 139)
Symmetry-distinct sites (fractional):
1 In 0.0000 0.0000 0.0000  4 Cu 2.67, 8 Re 2.92
2 Cu 0.0000 0.0000 0.5000  4 In 2.67, 8 Re 2.92
3 Re 0.0000 0.5000 0.2500  4 Re 2.67, 4 In 2.92, 4 Cu 2.92

Summary:
ΔE_f: 0.60 eV per atom